VASP calculation (GGA+U) on crystalline PrVBi2O8 at its relaxed geometry.

Unit cell a=5.2560 b=5.2560 c=6.7051 alpha=90.00 beta=90.00 gamma=120.00
Fractional positions:
Pr  0.0000  0.0000  0.5000
V  0.0000  0.0000  0.0000
Bi  0.6667  0.3333  0.1469
Bi  0.3333  0.6667  0.8531
O  0.8379  0.6759  0.8286
O  0.3241  0.1621  0.8286
O  0.8379  0.1621  0.8286
O  0.1621  0.3241  0.1714
O  0.6759  0.8379  0.1714
O  0.1621  0.8379  0.1714
O  0.6667  0.3333  0.4505
O  0.3333  0.6667  0.5495

Summary:
Crystal system   trigonal
Uncorrected energy   -6.295 eV per atom